Record 1
DFT (GGA-PBE) results for an optimized crystal structure of Tb2Pm5Er6.

Cell: 3.5803 11.6188 20.4368 Å, 90.00 90.00 90.00°
With the nearest neighbours (Å) after each atom.
Positions (direct):
Er1 0.0000 0.0608 0.0812  6 Pm 3.49-3.59, 5 Er 3.58-3.73, 1 Tb 3.77
Er2 0.5000 0.8245 0.3629  2 Pm 3.34-3.46, 6 Er 3.48-3.73, 2 Tb 3.59
Er3 0.0000 0.4194 0.8688  1 Tb 3.31, 6 Pm 3.36-3.54, 4 Er 3.48-3.58
Er4 0.5000 0.1755 0.6371  2 Pm 3.34-3.46, 6 Er 3.48-3.73, 2 Tb 3.59
Er5 0.0000 0.4392 0.5812  6 Pm 3.49-3.59, 5 Er 3.58-3.73, 1 Tb 3.77
Er6 0.5000 0.3245 0.1371  2 Pm 3.34-3.46, 6 Er 3.48-3.73, 2 Tb 3.59
Er7 0.0000 0.5806 0.1312  1 Tb 3.31, 6 Pm 3.36-3.54, 4 Er 3.48-3.58
Er8 0.0000 0.5608 0.4188  6 Pm 3.49-3.59, 5 Er 3.58-3.73, 1 Tb 3.77
Er9 0.5000 0.6755 0.8629  2 Pm 3.34-3.46, 6 Er 3.48-3.73, 2 Tb 3.59
Er10 0.0000 0.9194 0.6312  1 Tb 3.31, 6 Pm 3.36-3.54, 4 Er 3.48-3.58
Er11 0.0000 0.9392 0.9188  6 Pm 3.49-3.59, 5 Er 3.58-3.73, 1 Tb 3.77
Er12 0.0000 0.0806 0.3688  1 Tb 3.31, 6 Pm 3.36-3.54, 4 Er 3.48-3.58
Pm1 0.5000 0.5000 0.0000  6 Er 3.36-3.46, 4 Pm 3.58-3.64
Pm2 0.5000 0.1988 0.9505  6 Er 3.54-3.59, 3 Pm 3.58-3.64, 2 Tb 3.76
Pm3 0.5000 0.9158 0.7728  5 Er 3.34-3.49, 4 Tb 3.48-3.59, 2 Pm 3.58
Pm4 0.5000 0.6988 0.5495  6 Er 3.54-3.59, 3 Pm 3.58-3.64, 2 Tb 3.76
Pm5 0.5000 0.3012 0.4505  6 Er 3.54-3.59, 3 Pm 3.58-3.64, 2 Tb 3.76
Pm6 0.5000 0.0000 0.5000  6 Er 3.36-3.46, 4 Pm 3.58-3.64
Pm7 0.5000 0.0842 0.2272  5 Er 3.34-3.49, 4 Tb 3.48-3.59, 2 Pm 3.58
Pm8 0.5000 0.4158 0.7272  5 Er 3.34-3.49, 4 Tb 3.48-3.59, 2 Pm 3.58
Pm9 0.5000 0.5842 0.2728  5 Er 3.34-3.49, 4 Tb 3.48-3.59, 2 Pm 3.58
Pm10 0.5000 0.8012 0.0495  6 Er 3.54-3.59, 3 Pm 3.58-3.64, 2 Tb 3.76
Tb1 0.0000 0.3291 0.2894  3 Er 3.31-3.59, 4 Pm 3.48-3.59, 2 Tb 3.58
Tb2 0.0000 0.6709 0.7106  3 Er 3.31-3.59, 4 Pm 3.48-3.59, 2 Tb 3.58
Tb3 0.0000 0.8291 0.2106  3 Er 3.31-3.59, 4 Pm 3.48-3.59, 2 Tb 3.58
Tb4 0.0000 0.1709 0.7894  3 Er 3.31-3.59, 4 Pm 3.48-3.59, 2 Tb 3.58

Properties
- Energy of formation from the pure elements: 0.09 eV/atom
- Total DFT energy (no corrections): -4.551 eV per atom
- SG: No. 55
- ρ: 7.994 g cm⁻³

=====

Record 2
DFT (GGA-PBE) results for an optimized crystal structure of Tb4Pm3Er3.

Cell: 3.7033 9.3931 9.3931 Å, 90.31 90.00 90.00°
With the nearest neighbours (Å) after each atom.
Positions (direct):
Er1 0.0000 0.0021 0.5052  4 Tb 3.65-3.78, 4 Er 3.70-3.89, 6 Pm 3.94-3.98
Er2 0.5000 0.1730 0.8270  6 Tb 3.23-3.38
Er3 0.0000 0.4948 0.9979  4 Tb 3.65-3.78, 4 Er 3.70-3.89, 6 Pm 3.94-3.98
Tb1 0.0000 0.6271 0.3729  6 Pm 3.25-3.40, 1 Tb 3.40
Tb2 0.0000 0.3719 0.6281  2 Er 3.23, 4 Pm 3.40, 1 Tb 3.40
Tb3 0.0000 0.1284 0.1239  4 Pm 3.24-3.41, 1 Tb 3.34, 2 Er 3.38
Tb4 0.0000 0.8761 0.8716  4 Pm 3.24-3.41, 1 Tb 3.34, 2 Er 3.38
Pm1 0.5000 0.6722 0.6734  6 Tb 3.24-3.40
Pm2 0.5000 0.8278 0.1722  6 Tb 3.25-3.41
Pm3 0.5000 0.3266 0.3278  6 Tb 3.24-3.40

Properties
- Energy of formation from the pure elements: 0.10 eV/atom
- Total DFT energy (no corrections): -4.544 eV per atom
- SG: No. 38
- ρ: 7.992 g cm⁻³

=====

Record 3
DFT (GGA-PBE) results for an optimized crystal structure of Tb4PmEr6.

Cell: 5.6452 5.5815 25.6032 Å, 90.00 90.00 120.38°
With the nearest neighbours (Å) after each atom.
Positions (direct):
Tb1 0.5139 0.0279 0.6213  5 Er 3.11-3.29
Tb2 0.4861 0.9721 0.3787  5 Er 3.11-3.29
Tb3 0.1624 0.3248 0.4580  8 Er 3.40-3.72, 2 Tb 3.72-3.80
Tb4 0.4861 0.9721 0.1213  5 Er 3.11-3.29
Tb5 0.1624 0.3248 0.0420  8 Er 3.40-3.72, 2 Tb 3.72-3.80
Tb6 0.5139 0.0279 0.8787  5 Er 3.11-3.29
Tb7 0.8376 0.6752 0.9580  8 Er 3.40-3.72, 2 Tb 3.72-3.80
Tb8 0.8376 0.6752 0.5420  8 Er 3.40-3.72, 2 Tb 3.72-3.80
Pm1 0.1768 0.3535 0.7500  3 Er 3.22-3.24
Pm2 0.8232 0.6465 0.2500  3 Er 3.22-3.24
Er1 0.8450 0.6901 0.8188  7 Er 3.53-3.82, 4 Tb 3.54-3.60, 3 Pm 3.65-3.70
Er2 0.1777 0.3554 0.8970  6 Tb 3.27-3.63
Er3 0.1550 0.3099 0.1812  7 Er 3.53-3.82, 4 Tb 3.54-3.60, 3 Pm 3.65-3.70
Er4 0.8450 0.6901 0.6812  7 Er 3.53-3.82, 4 Tb 3.54-3.60, 3 Pm 3.65-3.70
Er5 0.8223 0.6446 0.3970  6 Tb 3.27-3.63
Er6 0.8223 0.6446 0.1030  6 Tb 3.27-3.63
Er7 0.5000 0.0000 0.5000  8 Tb 3.11-3.42
Er8 0.1777 0.3554 0.6030  6 Tb 3.27-3.63
Er9 0.4892 0.9785 0.2500  3 Pm 3.22-3.24, 2 Tb 3.29
Er10 0.5000 0.0000 0.0000  8 Tb 3.11-3.42
Er11 0.1550 0.3099 0.3188  7 Er 3.53-3.82, 4 Tb 3.54-3.60, 3 Pm 3.65-3.70
Er12 0.5108 0.0215 0.7500  3 Pm 3.22-3.24, 2 Tb 3.29

Properties
- Energy of formation from the pure elements: 0.12 eV/atom
- Total DFT energy (no corrections): -4.484 eV per atom
- SG: No. 63
- ρ: 8.514 g cm⁻³

=====

Record 4
DFT (GGA-PBE) results for an optimized crystal structure of TbPm4Er6.

Cell: 3.5123 10.9324 10.9324 Å, 120.00 90.00 90.00°
With the nearest neighbours (Å) after each atom.
Positions (direct):
Pm1 0.0000 0.3333 0.6667  3 Er 3.08
Pm2 0.5000 0.3928 0.1964  6 Er 3.44-3.49, 2 Pm 3.51
Pm3 0.5000 0.8036 0.1964  6 Er 3.44-3.49, 2 Pm 3.51
Pm4 0.5000 0.8036 0.6072  6 Er 3.44-3.49, 2 Pm 3.51
Er1 0.5000 0.1691 0.8309  4 Pm 3.49-3.57, 6 Er 3.51-3.56, 2 Tb 3.65
Er2 0.0000 0.0076 0.5038  5 Pm 3.08-3.44
Er3 0.5000 0.1691 0.3383  4 Pm 3.49-3.57, 6 Er 3.51-3.56, 2 Tb 3.65
Er4 0.5000 0.6617 0.8309  4 Pm 3.49-3.57, 6 Er 3.51-3.56, 2 Tb 3.65
Er5 0.0000 0.4962 0.5038  5 Pm 3.08-3.44
Er6 0.0000 0.4962 0.9924  5 Pm 3.08-3.44
Tb1 0.0000 0.0000 0.0000  2 Tb 3.51, 6 Er 3.65

Properties
- Energy of formation from the pure elements: 0.16 eV/atom
- Total DFT energy (no corrections): -4.472 eV per atom
- SG: No. 187
- ρ: 7.959 g cm⁻³
- Energy relative to the lowest polymorph listed for this composition: 0.0 meV/atom